[1]
{
  "formula": "Ba2SrCd",
  "functional": "meta-GGA SCAN",
  "state": "single point on PBEsol structure",
  "formation_energy_ev_per_atom": -0.11,
  "energy_ev_per_atom": -33.053,
  "vol_a3_per_fu": 191.2,
  "spacegroup": "No. 38",
  "cell": [[-2.212, 0.062, 4.189], [-1.471, -4.465, -0.710], [8.137, -2.945, 1.661]],
  "species": ["Ba", "Ba", "Cd", "Sr"],
  "fractional_positions": [[0.927, 0.000, 0.855], [0.280, 0.500, 0.560], [0.715, 0.000, 0.429], [0.574, 0.500, 0.149]]
}

=====

[2]
{
  "formula": "CaLa2BW",
  "functional": "meta-GGA SCAN",
  "state": "single point on PBEsol structure",
  "formation_energy_ev_per_atom": 0.39,
  "energy_ev_per_atom": -34.206,
  "vol_a3_per_fu": 125.1,
  "spacegroup": "No. 123",
  "cell": [[4.260, 0.000, 0.000], [0.000, 5.420, 0.000], [0.000, 0.000, 5.420]],
  "species": ["B", "La", "La", "W", "Ca"],
  "fractional_positions": [[0.000, 0.000, 0.000], [0.000, 0.500, 0.000], [0.000, 0.000, 0.500], [0.500, 0.000, 0.000], [0.500, 0.500, 0.500]]
}

=====

[3]
{
  "formula": "CuAg10Pb3O12",
  "functional": "meta-GGA SCAN",
  "state": "single point on PBEsol structure",
  "energy_ev_per_atom": -24.756,
  "raw_formation_energy_ev_per_atom": -0.49,
  "vol_a3_per_fu": 366.7,
  "spacegroup": "No. 5",
  "cell": [[-5.337, 0.190, 2.175], [-5.691, -2.098, -6.084], [-2.807, -7.978, 1.507]],
  "species": ["O", "O", "O", "O", "O", "O", "O", "O", "O", "O", "O", "O", "Ag", "Ag", "Ag", "Ag", "Ag", "Ag", "Ag", "Ag", "Ag", "Ag", "Cu", "Pb", "Pb", "Pb"],
  "fractional_positions": [[0.784, 0.966, 0.837], [0.268, 0.461, 0.356], [0.216, 0.163, 0.034], [0.719, 0.647, 0.157], [0.808, 0.338, 0.477], [0.281, 0.843, 0.353], [0.219, 0.173, 0.641], [0.722, 0.038, 0.155], [0.732, 0.644, 0.539], [0.192, 0.523, 0.662], [0.781, 0.359, 0.827], [0.278, 0.845, 0.962], [0.499, 0.745, 0.748], [0.501, 0.252, 0.255], [0.641, 0.113, 0.601], [0.250, 0.004, 0.503], [0.857, 0.879, 0.391], [0.997, 0.747, 0.745], [0.003, 0.255, 0.253], [0.750, 0.497, 0.996], [0.143, 0.609, 0.121], [0.359, 0.399, 0.887], [0.000, 0.419, 0.581], [0.500, 0.569, 0.431], [0.500, 0.914, 0.086], [0.000, 0.098, 0.902]]
}

=====

[4]
{
  "formula": "Ce6Mg23C",
  "functional": "meta-GGA SCAN",
  "state": "single point on PBEsol structure",
  "formation_energy_ev_per_atom": -0.07,
  "energy_ev_per_atom": -13.132,
  "vol_a3_per_fu": 717.4,
  "spacegroup": "No. 225",
  "cell": [[-4.891, -7.161, 5.076], [5.065, -7.772, 3.861], [1.165, -0.793, 9.949]],
  "species": ["Mg", "Mg", "Mg", "Mg", "Mg", "Mg", "Mg", "Mg", "Mg", "Mg", "Mg", "Mg", "Mg", "Mg", "Mg", "Mg", "Mg", "Mg", "Mg", "Mg", "Mg", "Mg", "Mg", "Ce", "Ce", "Ce", "Ce", "Ce", "Ce", "C"],
  "fractional_positions": [[0.620, 0.620, 0.141], [0.170, 0.170, 0.170], [0.830, 0.830, 0.510], [0.510, 0.830, 0.830], [0.500, 0.000, 0.500], [0.380, 0.380, 0.859], [0.141, 0.620, 0.620], [0.000, 0.500, 0.500], [0.859, 0.380, 0.380], [0.170, 0.490, 0.170], [0.000, 0.500, 0.000], [0.380, 0.859, 0.380], [0.830, 0.510, 0.830], [0.490, 0.170, 0.170], [0.000, 0.000, 0.500], [0.500, 0.500, 0.000], [0.620, 0.141, 0.620], [0.620, 0.620, 0.620], [0.380, 0.380, 0.380], [0.500, 0.000, 0.000], [0.170, 0.170, 0.490], [0.830, 0.830, 0.830], [0.500, 0.500, 0.500], [0.823, 0.823, 0.177], [0.823, 0.177, 0.823], [0.177, 0.177, 0.823], [0.823, 0.177, 0.177], [0.177, 0.823, 0.823], [0.177, 0.823, 0.177], [0.000, 0.000, 0.000]]
}

=====

[5]
{
  "formula": "SrSBr2",
  "functional": "meta-GGA SCAN",
  "state": "single point on PBEsol structure",
  "de_polymorph_ev_per_atom": 0.000,
  "energy_ev_per_atom": -18.736,
  "raw_formation_energy_ev_per_atom": -1.03,
  "vol_a3_per_fu": 104.3,
  "spacegroup": "No. 225",
  "cell": [[5.283, 0.000, 0.000], [2.642, 4.576, 0.000], [2.642, 1.525, 4.314]],
  "species": ["Br", "Br", "Sr", "S"],
  "fractional_positions": [[0.250, 0.250, 0.250], [0.750, 0.750, 0.750], [0.500, 0.500, 0.500], [0.000, 0.000, 0.000]]
}

=====

[6]
{
  "formula": "CsNb2H",
  "functional": "meta-GGA SCAN",
  "state": "single point on PBEsol structure",
  "energy_ev_per_atom": -25.777,
  "vol_a3_per_fu": 80.9,
  "spacegroup": "No. 227",
  "cell": [[-5.174, 0.518, -3.220], [-4.250, -4.386, 0.317], [-5.293, 1.073, 2.870]],
  "species": ["Cs", "Cs", "Nb", "Nb", "Nb", "Nb", "H", "H"],
  "fractional_positions": [[0.750, 0.750, 0.750], [0.500, 0.500, 0.500], [0.125, 0.125, 0.125], [0.125, 0.125, 0.625], [0.125, 0.625, 0.125], [0.625, 0.125, 0.125], [0.250, 0.250, 0.250], [0.000, 0.000, 0.000]]
}

=====

[7]
{
  "formula": "MnSb2As",
  "functional": "meta-GGA SCAN",
  "state": "single point on PBEsol structure",
  "energy_ev_per_atom": -28.193,
  "raw_formation_energy_ev_per_atom": 0.05,
  "vol_a3_per_fu": 79.8,
  "spacegroup": "No. 99",
  "cell": [[3.221, 0.000, 0.000], [0.000, 3.221, 0.000], [0.000, 0.000, 7.689]],
  "species": ["As", "Sb", "Sb", "Mn"],
  "fractional_positions": [[0.000, 0.000, 0.563], [0.000, 0.000, 0.935], [0.500, 0.500, 0.300], [0.500, 0.500, 0.702]]
}

=====

[8]
{
  "formula": "MnFe2W",
  "functional": "meta-GGA SCAN",
  "state": "single point on PBEsol structure",
  "de_polymorph_ev_per_atom": 0.030,
  "formation_energy_ev_per_atom": 0.03,
  "energy_ev_per_atom": -31.017,
  "vol_a3_per_fu": 47.9,
  "spacegroup": "No. 123",
  "cell": [[3.031, 0.000, 0.000], [0.000, 3.976, 0.000], [0.000, 0.000, 3.976]],
  "species": ["Fe", "Fe", "W", "Mn"],
  "fractional_positions": [[0.000, 0.500, 0.000], [0.000, 0.000, 0.500], [0.500, 0.000, 0.000], [0.500, 0.500, 0.500]]
}

=====

[9]
{
  "formula": "CaIn2Rh2",
  "functional": "meta-GGA SCAN",
  "state": "single point on PBEsol structure",
  "formation_energy_ev_per_atom": -0.50,
  "energy_ev_per_atom": -29.299,
  "vol_a3_per_fu": 92.8,
  "spacegroup": "No. 127",
  "cell": [[-1.059, 1.698, 2.293], [-6.327, -4.553, 0.449], [3.681, -4.611, 5.114]],
  "species": ["In", "In", "In", "In", "Rh", "Rh", "Rh", "Rh", "Ca", "Ca"],
  "fractional_positions": [[0.000, 0.369, 0.869], [0.000, 0.131, 0.369], [0.000, 0.631, 0.131], [0.000, 0.869, 0.631], [0.500, 0.166, 0.666], [0.500, 0.834, 0.334], [0.500, 0.334, 0.166], [0.500, 0.666, 0.834], [0.000, 0.500, 0.500], [0.000, 0.000, 0.000]]
}

=====

[10]
{
  "formula": "Zn2Ni2Au",
  "functional": "meta-GGA SCAN",
  "state": "single point on PBEsol structure",
  "de_polymorph_ev_per_atom": 0.246,
  "formation_energy_ev_per_atom": 0.16,
  "energy_ev_per_atom": -25.544,
  "vol_a3_per_fu": 68.6,
  "spacegroup": "No. 139",
  "cell": [[-2.729, 1.062, -1.876], [-2.150, -1.555, 2.248], [2.190, 5.017, 2.876]],
  "species": ["Ni", "Ni", "Au", "Zn", "Zn"],
  "fractional_positions": [[0.600, 0.600, 0.200], [0.400, 0.400, 0.800], [0.000, 0.000, 0.000], [0.750, 0.250, 0.500], [0.250, 0.750, 0.500]]
}

=====

[11]
{
  "formula": "Li8NbS6",
  "functional": "meta-GGA SCAN",
  "state": "single point on PBEsol structure",
  "de_polymorph_ev_per_atom": 0.000,
  "energy_ev_per_atom": -8.715,
  "raw_formation_energy_ev_per_atom": -1.38,
  "vol_a3_per_fu": 233.7,
  "spacegroup": "No. 148",
  "cell": [[-0.212, -5.921, 3.057], [5.471, -3.799, 0.292], [3.312, -0.592, 6.352]],
  "species": ["Li", "Li", "Li", "Li", "Li", "Li", "Li", "Li", "S", "S", "S", "S", "S", "S", "Nb"],
  "fractional_positions": [[0.226, 0.892, 0.359], [0.774, 0.108, 0.641], [0.892, 0.523, 0.359], [0.664, 0.664, 0.008], [0.523, 0.226, 0.359], [0.336, 0.336, 0.992], [0.477, 0.774, 0.641], [0.108, 0.477, 0.641], [0.387, 0.085, 0.768], [0.760, 0.387, 0.768], [0.240, 0.613, 0.232], [0.613, 0.915, 0.232], [0.085, 0.760, 0.768], [0.915, 0.240, 0.232], [0.000, 0.000, 0.000]]
}

=====

[12]
{
  "formula": "Mg14MnZnO16",
  "functional": "meta-GGA SCAN",
  "state": "single point on PBEsol structure",
  "energy_ev_per_atom": -9.131,
  "raw_formation_energy_ev_per_atom": -2.85,
  "vol_a3_per_fu": 304.2,
  "spacegroup": "No. 123",
  "cell": [[4.235, 0.000, 0.000], [0.000, 8.474, 0.000], [0.000, 0.000, 8.474]],
  "species": ["O", "O", "O", "O", "O", "O", "O", "O", "O", "O", "O", "O", "O", "O", "O", "O", "Mg", "Mg", "Mg", "Mg", "Mg", "Mg", "Mg", "Mg", "Mg", "Mg", "Mg", "Mg", "Mg", "Mg", "Mn", "Zn"],
  "fractional_positions": [[0.500, 0.250, 0.250], [0.000, 0.500, 0.248], [0.500, 0.000, 0.500], [0.000, 0.752, 0.500], [0.500, 0.500, 0.000], [0.500, 0.750, 0.750], [0.000, 0.248, 0.500], [0.500, 0.250, 0.750], [0.500, 0.750, 0.250], [0.000, 0.000, 0.744], [0.000, 0.500, 0.752], [0.000, 0.256, 0.000], [0.500, 0.000, 0.000], [0.000, 0.744, 0.000], [0.000, 0.000, 0.256], [0.500, 0.500, 0.500], [0.000, 0.500, 0.000], [0.000, 0.251, 0.251], [0.500, 0.500, 0.750], [0.500, 0.750, 0.500], [0.000, 0.749, 0.749], [0.500, 0.748, 0.000], [0.500, 0.500, 0.250], [0.000, 0.251, 0.749], [0.000, 0.000, 0.500], [0.000, 0.749, 0.251], [0.500, 0.000, 0.252], [0.500, 0.252, 0.000], [0.500, 0.250, 0.500], [0.500, 0.000, 0.748], [0.000, 0.000, 0.000], [0.000, 0.500, 0.500]]
}

=====

[13]
{
  "formula": "HgAs2OsSe",
  "functional": "meta-GGA SCAN",
  "state": "single point on PBEsol structure",
  "energy_ev_per_atom": -38.049,
  "raw_formation_energy_ev_per_atom": 2.05,
  "vol_a3_per_fu": 123.7,
  "spacegroup": "No. 123",
  "cell": [[4.998, 0.000, 0.000], [0.000, 4.974, 0.000], [0.000, 0.000, 4.974]],
  "species": ["Se", "As", "As", "Os", "Hg"],
  "fractional_positions": [[0.500, 0.000, 0.000], [0.000, 0.500, 0.000], [0.000, 0.000, 0.500], [0.500, 0.500, 0.500], [0.000, 0.000, 0.000]]
}

=====

[14]
{
  "formula": "ZnBiAu3",
  "functional": "meta-GGA SCAN",
  "state": "single point on PBEsol structure",
  "formation_energy_ev_per_atom": 0.71,
  "energy_ev_per_atom": -59.200,
  "vol_a3_per_fu": 147.9,
  "spacegroup": "No. 221",
  "cell": [[-4.864, -2.064, 0.218], [0.255, -1.146, -5.156], [2.060, -4.732, 1.153]],
  "species": ["Zn", "Au", "Au", "Au", "Bi"],
  "fractional_positions": [[0.500, 0.500, 0.500], [0.000, 0.500, 0.000], [0.000, 0.000, 0.500], [0.500, 0.000, 0.000], [0.000, 0.000, 0.000]]
}

=====

[15]
{
  "formula": "CdPbSe2",
  "functional": "meta-GGA SCAN",
  "state": "single point on PBEsol structure",
  "energy_ev_per_atom": -37.162,
  "raw_formation_energy_ev_per_atom": -0.57,
  "vol_a3_per_fu": 100.5,
  "spacegroup": "No. 166",
  "cell": [[4.149, 0.000, 0.000], [2.075, 3.594, 0.000], [2.075, 1.198, 6.742]],
  "species": ["Pb", "Se", "Se", "Cd"],
  "fractional_positions": [[0.500, 0.500, 0.500], [0.742, 0.742, 0.775], [0.258, 0.258, 0.225], [0.000, 0.000, 0.000]]
}

=====

[16]
{
  "formula": "GaMoPb3",
  "functional": "meta-GGA SCAN",
  "state": "single point on PBEsol structure",
  "formation_energy_ev_per_atom": 1.05,
  "energy_ev_per_atom": -54.667,
  "vol_a3_per_fu": 149.1,
  "spacegroup": "No. 221",
  "cell": [[5.302, 0.000, 0.000], [0.000, 5.302, 0.000], [0.000, 0.000, 5.302]],
  "species": ["Mo", "Pb", "Pb", "Pb", "Ga"],
  "fractional_positions": [[0.500, 0.500, 0.500], [0.000, 0.500, 0.000], [0.500, 0.000, 0.000], [0.000, 0.000, 0.500], [0.000, 0.000, 0.000]]
}

=====

[17]
{
  "formula": "NbH3I",
  "functional": "meta-GGA SCAN",
  "state": "single point on PBEsol structure",
  "de_polymorph_ev_per_atom": 1.275,
  "energy_ev_per_atom": -14.303,
  "vol_a3_per_fu": 57.1,
  "spacegroup": "No. 221",
  "cell": [[3.850, 0.000, 0.000], [0.000, 3.850, 0.000], [0.000, 0.000, 3.850]],
  "species": ["H", "H", "H", "Nb", "I"],
  "fractional_positions": [[0.000, 0.500, 0.000], [0.500, 0.000, 0.000], [0.000, 0.000, 0.500], [0.500, 0.500, 0.500], [0.000, 0.000, 0.000]]
}

=====

[18]
{
  "formula": "RbPPd2",
  "functional": "meta-GGA SCAN",
  "state": "single point on PBEsol structure",
  "formation_energy_ev_per_atom": -0.37,
  "energy_ev_per_atom": -24.544,
  "vol_a3_per_fu": 105.7,
  "spacegroup": "No. 141",
  "cell": [[5.393, 0.000, 0.000], [0.000, 5.393, 0.000], [-2.697, -2.697, 7.267]],
  "species": ["P", "P", "Pd", "Pd", "Pd", "Pd", "Rb", "Rb"],
  "fractional_positions": [[0.750, 0.250, 0.500], [0.500, 0.500, 0.000], [0.625, 0.375, 0.750], [0.625, 0.875, 0.250], [0.625, 0.375, 0.250], [0.125, 0.375, 0.750], [0.000, 0.000, 0.000], [0.250, 0.750, 0.500]]
}

=====

[19]
{
  "formula": "Co2PWI",
  "functional": "meta-GGA SCAN",
  "state": "single point on PBEsol structure",
  "energy_ev_per_atom": -29.319,
  "raw_formation_energy_ev_per_atom": 0.97,
  "vol_a3_per_fu": 81.0,
  "spacegroup": "No. 123",
  "cell": [[-1.145, -0.258, 4.036], [1.630, -3.868, 0.216], [4.036, 1.771, 1.259]],
  "species": ["W", "Co", "Co", "I", "P"],
  "fractional_positions": [[0.000, 0.000, 0.500], [0.500, 0.000, 0.000], [0.000, 0.500, 0.000], [0.500, 0.500, 0.500], [0.000, 0.000, 0.000]]
}

=====

[20]
{
  "formula": "CoAg2Au",
  "functional": "meta-GGA SCAN",
  "state": "single point on PBEsol structure",
  "de_polymorph_ev_per_atom": 0.013,
  "formation_energy_ev_per_atom": 0.14,
  "energy_ev_per_atom": -37.158,
  "vol_a3_per_fu": 60.6,
  "spacegroup": "No. 99",
  "cell": [[-2.162, -0.974, -1.448], [0.316, -2.486, 1.200], [-4.849, 2.172, 5.777]],
  "species": ["Ag", "Ag", "Co", "Au"],
  "fractional_positions": [[0.500, 0.500, 0.249], [0.000, 0.000, 0.981], [0.500, 0.500, 0.748], [0.000, 0.000, 0.522]]
}